The following is a GGA-PBEsol calculation of an optimized crystal structure of ScMnFe, from Alexandria via LeMat-Bulk.

Structure (POSCAR):
```
ScMnFe
1.0
5.6005 0.0000 0.0000
0.0000 5.6005 0.0000
0.0000 0.0000 5.6005
Sc Mn Fe
4 4 4
direct
0.0000 0.0000 0.0000
0.0000 0.5000 0.5000
0.5000 0.0000 0.5000
0.5000 0.5000 0.0000
0.2500 0.2500 0.2500
0.2500 0.7500 0.7500
0.7500 0.2500 0.7500
0.7500 0.7500 0.2500
0.0000 0.0000 0.5000
0.0000 0.5000 0.0000
0.5000 0.0000 0.0000
0.5000 0.5000 0.5000
```

Output
DFT formation energy in meV per atom: 582.2
Space-group type: F-43m (216)
Crystal system: cubic

=====

The following is a GGA-PBEsol calculation of an optimized crystal structure of Sc2MnFe, from Alexandria via LeMat-Bulk.

Structure (POSCAR):
```
Sc2MnFe
1.0
6.2646 0.0000 0.0000
0.0000 6.2646 0.0000
0.0000 0.0000 6.2646
Sc Mn Fe
8 4 4
direct
0.2500 0.2500 0.2500
0.2500 0.2500 0.7500
0.2500 0.7500 0.2500
0.2500 0.7500 0.7500
0.7500 0.2500 0.2500
0.7500 0.2500 0.7500
0.7500 0.7500 0.2500
0.7500 0.7500 0.7500
0.0000 0.0000 0.0000
0.0000 0.5000 0.5000
0.5000 0.0000 0.5000
0.5000 0.5000 0.0000
0.0000 0.0000 0.5000
0.0000 0.5000 0.0000
0.5000 0.0000 0.0000
0.5000 0.5000 0.5000
```

Output
DFT formation energy in meV per atom: 76.4
Space-group type: Fm-3m (225)
Crystal system: cubic

=====

The following is a GGA-PBEsol calculation of an optimized crystal structure of ScMn2TlFe, from Alexandria via LeMat-Bulk.

Structure (POSCAR):
```
ScMn2TlFe
1.0
4.3905 0.0000 0.0000
0.0000 4.3905 0.0000
0.0000 0.0000 5.2808
Sc Mn Tl Fe
1 2 1 1
direct
0.0000 0.0000 0.0000
0.0000 0.5000 0.0000
0.5000 0.0000 0.0000
0.0000 0.0000 0.5000
0.5000 0.5000 0.5000
```

Output
DFT formation energy in meV per atom: 1673.9
Space-group type: P4/mmm (123)
Crystal system: tetragonal

=====

The following is a GGA-PBEsol calculation of an optimized crystal structure of Mn4FeSe, from Alexandria via LeMat-Bulk.

Structure (POSCAR):
```
Mn4FeSe
1.0
0.0000 3.3017 3.3017
3.3017 0.0000 3.3017
3.3017 3.3017 0.0000
Mn Fe Se
4 1 1
direct
0.3756 0.3756 0.3756
0.3756 0.3756 0.8733
0.3756 0.8733 0.3756
0.8733 0.3756 0.3756
0.7500 0.7500 0.7500
0.0000 0.0000 0.0000
```

Output
Energy relative to the elements, uncorrected in eV per atom: 0.51
Space-group type: F-43m (216)
Crystal system: cubic

=====

The following is a GGA-PBEsol calculation of an optimized crystal structure of Mn2FeSe, from Alexandria via LeMat-Bulk.

Structure (POSCAR):
```
Mn2FeSe
1.0
3.1633 0.0000 0.0000
0.0000 3.9821 0.0000
0.0000 0.0000 7.6386
Mn Fe Se
4 2 2
direct
0.0000 0.0000 0.2452
0.0000 0.0000 0.7548
0.5000 0.5000 0.2548
0.5000 0.5000 0.7452
0.0000 0.5000 0.0000
0.5000 0.0000 0.5000
0.0000 0.5000 0.5000
0.5000 0.0000 0.0000
```

Output
Energy relative to the elements, uncorrected in eV per atom: 0.24
Space-group type: Immm (71)
Crystal system: orthorhombic

=====

The following is a GGA-PBEsol calculation of an optimized crystal structure of MnFeSe, from Alexandria via LeMat-Bulk.

Structure (POSCAR):
```
MnFeSe
1.0
2.7832 0.0000 0.0000
-1.3916 2.4103 0.0000
0.0000 0.0000 5.5715
Mn Fe Se
1 1 1
direct
0.0000 0.0000 0.0000
0.6667 0.3333 0.3271
0.3333 0.6667 0.6742
```

Output
Energy relative to the elements, uncorrected in eV per atom: 0.34
Space-group type: P3m1 (156)
Crystal system: trigonal